DFT (PBE-GGA) results for a relaxed structure of YThCuRe.

Cell lengths 7.0377, 7.0377, 7.0377 Å; angles 90.00, 90.00, 90.00 degrees
Closest atoms and distances in Å follow each position.
Element x y z (fractional)
Y (0.0000, 0.0000, 0.0000)  4 Cu 3.05, 4 Re 3.05
Y (0.0000, 0.5000, 0.5000)  4 Cu 3.05, 4 Re 3.05
Y (0.5000, 0.0000, 0.5000)  4 Cu 3.05, 4 Re 3.05
Y (0.5000, 0.5000, 0.0000)  4 Cu 3.05, 4 Re 3.05
Th (0.0000, 0.0000, 0.5000)  4 Re 3.05, 4 Cu 3.05
Th (0.0000, 0.5000, 0.0000)  4 Re 3.05, 4 Cu 3.05
Th (0.5000, 0.0000, 0.0000)  4 Re 3.05, 4 Cu 3.05
Th (0.5000, 0.5000, 0.5000)  4 Re 3.05, 4 Cu 3.05
Cu (0.2500, 0.2500, 0.7500)  4 Th 3.05, 4 Y 3.05
Cu (0.2500, 0.7500, 0.2500)  4 Th 3.05, 4 Y 3.05
Cu (0.7500, 0.2500, 0.2500)  4 Th 3.05, 4 Y 3.05
Cu (0.7500, 0.7500, 0.7500)  4 Th 3.05, 4 Y 3.05
Re (0.2500, 0.2500, 0.2500)  4 Y 3.05, 4 Th 3.05
Re (0.2500, 0.7500, 0.7500)  4 Y 3.05, 4 Th 3.05
Re (0.7500, 0.2500, 0.7500)  4 Y 3.05, 4 Th 3.05
Re (0.7500, 0.7500, 0.2500)  4 Y 3.05, 4 Th 3.05

Results
The total energy is -7.627 eV/atom. As for the volume: 21.8 Å³/atom. Its space group is F-43m. The calculation puts the magnetization at 0.00 Bohr magnetons per cell.

---

DFT (PBE-GGA) results for a relaxed structure of Ti4CuRe.

Cell lengths 7.5763, 4.3679, 7.0853 Å; angles 90.00, 110.78, 90.00 degrees
Closest atoms and distances in Å follow each position.
Element x y z (fractional)
Ti (0.1274, 0.0000, 0.3819)  1 Re 2.53, 3 Cu 2.64
Ti (0.1281, 0.5000, 0.8839)  1 Cu 2.54, 3 Re 2.64
Ti (0.3719, 0.0000, 0.1161)  1 Cu 2.54, 3 Re 2.64
Ti (0.3726, 0.5000, 0.6181)  1 Re 2.53, 3 Cu 2.64
Ti (0.6274, 0.5000, 0.3819)  1 Re 2.53, 3 Cu 2.64
Ti (0.6281, 0.0000, 0.8839)  1 Cu 2.54, 3 Re 2.64
Ti (0.8719, 0.5000, 0.1161)  1 Cu 2.54, 3 Re 2.64
Ti (0.8726, 0.0000, 0.6181)  1 Re 2.53, 3 Cu 2.64
Cu (0.0000, 0.5000, 0.5000)  8 Ti 2.54-2.64
Cu (0.5000, 0.0000, 0.5000)  8 Ti 2.54-2.64
Re (0.0000, 0.0000, 0.0000)  8 Ti 2.53-2.64
Re (0.5000, 0.5000, 0.0000)  8 Ti 2.53-2.64

Results
The total energy is -7.765 eV/atom. As for the volume: 18.3 Å³/atom. Its space group is C2/m. The calculation puts the magnetization at 3.39 Bohr magnetons per cell. The relative energy among the computed polymorphs comes out at 0.411 eV/atom.

---

DFT (PBE-GGA) results for a relaxed structure of Ti3CuRe2.

Cell lengths 3.1477, 3.1477, 9.1576 Å; angles 90.00, 90.00, 90.00 degrees
Closest atoms and distances in Å follow each position.
Element x y z (fractional)
Ti (0.0000, 0.0000, 0.0000)  8 Re 2.73, 2 Ti 3.01
Ti (0.0000, 0.0000, 0.3286)  4 Re 2.64, 4 Cu 2.72
Ti (0.0000, 0.0000, 0.6714)  4 Re 2.64, 4 Cu 2.72
Cu (0.5000, 0.5000, 0.5000)  8 Ti 2.72, 2 Re 2.99
Re (0.5000, 0.5000, 0.1731)  8 Ti 2.64-2.73
Re (0.5000, 0.5000, 0.8269)  8 Ti 2.64-2.73

Results
The total energy is -9.104 eV/atom. As for the volume: 15.1 Å³/atom. Its space group is P4/mmm. The calculation puts the magnetization at 0.00 Bohr magnetons per cell.

---

DFT (PBE-GGA) results for a relaxed structure of Ti12Cu3Re5.

Cell lengths 12.7432, 12.7432, 12.7432 Å; angles 109.47, 109.47, 109.47 degrees
Closest atoms and distances in Å follow each position.
Element x y z (fractional)
Ti (0.0525, 0.2211, 0.1332)  2 Re 2.39-2.46
Ti (0.0525, 0.3314, 0.9194)  2 Re 2.39-2.46
Ti (0.0806, 0.6332, 0.4121)  2 Re 2.39-2.46
Ti (0.0806, 0.9475, 0.6686)  2 Re 2.39-2.46
Ti (0.0879, 0.7211, 0.6686)  2 Re 2.39-2.46
Ti (0.0879, 0.8668, 0.4194)  2 Re 2.39-2.46
Ti (0.1332, 0.0525, 0.2211)  2 Re 2.39-2.46
Ti (0.1332, 0.5806, 0.9121)  2 Re 2.39-2.46
Ti (0.1686, 0.2211, 0.5879)  2 Re 2.39-2.46
Ti (0.1686, 0.4475, 0.5806)  2 Re 2.39-2.46
Ti (0.2211, 0.1332, 0.0525)  2 Re 2.39-2.46
Ti (0.2211, 0.5879, 0.1686)  2 Re 2.39-2.46
Ti (0.2789, 0.3314, 0.9121)  2 Re 2.39-2.46
Ti (0.2789, 0.4475, 0.3668)  2 Re 2.39-2.46
Ti (0.3314, 0.9121, 0.2789)  2 Re 2.39-2.46
Ti (0.3314, 0.9194, 0.0525)  2 Re 2.39-2.46
Ti (0.3668, 0.2789, 0.4475)  2 Re 2.39-2.46
Ti (0.3668, 0.5879, 0.9194)  2 Re 2.39-2.46
Ti (0.4121, 0.0806, 0.6332)  2 Re 2.39-2.46
Ti (0.4121, 0.8314, 0.7789)  2 Re 2.39-2.46
Ti (0.4194, 0.0879, 0.8668)  2 Re 2.39-2.46
Ti (0.4194, 0.8314, 0.5525)  2 Re 2.39-2.46
Ti (0.4475, 0.3668, 0.2789)  2 Re 2.39-2.46
Ti (0.4475, 0.5806, 0.1686)  2 Re 2.39-2.46
Ti (0.5525, 0.4194, 0.8314)  2 Re 2.39-2.46
Ti (0.5525, 0.6332, 0.7211)  2 Re 2.39-2.46
Ti (0.5806, 0.1686, 0.4475)  2 Re 2.39-2.46
Ti (0.5806, 0.9121, 0.1332)  2 Re 2.39-2.46
Ti (0.5879, 0.1686, 0.2211)  2 Re 2.39-2.46
Ti (0.5879, 0.9194, 0.3668)  2 Re 2.39-2.46
Ti (0.6332, 0.4121, 0.0806)  2 Re 2.39-2.46
Ti (0.6332, 0.7211, 0.5525)  2 Re 2.39-2.46
Ti (0.6686, 0.0806, 0.9475)  2 Re 2.39-2.46
Ti (0.6686, 0.0879, 0.7211)  2 Re 2.39-2.46
Ti (0.7211, 0.5525, 0.6332)  2 Re 2.39-2.46
Ti (0.7211, 0.6686, 0.0879)  2 Re 2.39-2.46
Ti (0.7789, 0.4121, 0.8314)  2 Re 2.39-2.46
Ti (0.7789, 0.8668, 0.9475)  2 Re 2.39-2.46
Ti (0.8314, 0.5525, 0.4194)  2 Re 2.39-2.46
Ti (0.8314, 0.7789, 0.4121)  2 Re 2.39-2.46
Ti (0.8668, 0.4194, 0.0879)  2 Re 2.39-2.46
Ti (0.8668, 0.9475, 0.7789)  2 Re 2.39-2.46
Ti (0.9121, 0.1332, 0.5806)  2 Re 2.39-2.46
Ti (0.9121, 0.2789, 0.3314)  2 Re 2.39-2.46
Ti (0.9194, 0.0525, 0.3314)  2 Re 2.39-2.46
Ti (0.9194, 0.3668, 0.5879)  2 Re 2.39-2.46
Ti (0.9475, 0.6686, 0.0806)  2 Re 2.39-2.46
Ti (0.9475, 0.7789, 0.8668)  2 Re 2.39-2.46
Cu (0.1250, 0.2500, 0.3750)  8 Ti 2.69-2.76
Cu (0.1250, 0.3750, 0.7500)  8 Ti 2.69-2.76
Cu (0.2500, 0.3750, 0.1250)  8 Ti 2.69-2.76
Cu (0.2500, 0.8750, 0.6250)  8 Ti 2.69-2.76
Cu (0.3750, 0.1250, 0.2500)  8 Ti 2.69-2.76
Cu (0.3750, 0.7500, 0.1250)  8 Ti 2.69-2.76
Cu (0.6250, 0.2500, 0.8750)  8 Ti 2.69-2.76
Cu (0.6250, 0.8750, 0.7500)  8 Ti 2.69-2.76
Cu (0.7500, 0.1250, 0.3750)  8 Ti 2.69-2.76
Cu (0.7500, 0.6250, 0.8750)  8 Ti 2.69-2.76
Cu (0.8750, 0.6250, 0.2500)  8 Ti 2.69-2.76
Cu (0.8750, 0.7500, 0.6250)  8 Ti 2.69-2.76
Re (0.0000, 0.0000, 0.0000)  6 Ti 2.46
Re (0.0000, 0.0000, 0.5000)  6 Ti 2.46
Re (0.0000, 0.5000, 0.0000)  6 Ti 2.46
Re (0.0000, 0.5000, 0.5000)  6 Ti 2.46
Re (0.1250, 0.7500, 0.8750)  4 Ti 2.39
Re (0.1250, 0.8750, 0.2500)  4 Ti 2.39
Re (0.2500, 0.1250, 0.8750)  4 Ti 2.39
Re (0.2500, 0.6250, 0.3750)  4 Ti 2.39
Re (0.3750, 0.2500, 0.6250)  4 Ti 2.39
Re (0.3750, 0.6250, 0.7500)  4 Ti 2.39
Re (0.5000, 0.0000, 0.0000)  6 Ti 2.46
Re (0.5000, 0.0000, 0.5000)  6 Ti 2.46
Re (0.5000, 0.5000, 0.0000)  6 Ti 2.46
Re (0.5000, 0.5000, 0.5000)  6 Ti 2.46
Re (0.6250, 0.3750, 0.2500)  4 Ti 2.39
Re (0.6250, 0.7500, 0.3750)  4 Ti 2.39
Re (0.7500, 0.3750, 0.6250)  4 Ti 2.39
Re (0.7500, 0.8750, 0.1250)  4 Ti 2.39
Re (0.8750, 0.1250, 0.7500)  4 Ti 2.39
Re (0.8750, 0.2500, 0.1250)  4 Ti 2.39

Results
The total energy is -7.596 eV/atom. As for the volume: 19.9 Å³/atom. Its space group is Ia-3d. The calculation puts the magnetization at 0.00 Bohr magnetons per cell.